This record from Alexandria via LeMat-Bulk describes a relaxed Ho2ScAl3 crystal. The functional is GGA-PBE.

The structure belongs to space group Cmcm (No. 63); the cell edges are 11.517, 9.675 and 5.118 Å and the angles 90.00°, 90.00° and 90.00°. Symmetry generates all atoms from Ho at (0.140, 0.217, 0.250), Sc at (0.000, 0.393, 0.750), Al at (0.000, 0.080, 0.750) and Al at (0.208, 0.500, 0.000).

As for the total energy: -0.169 Ha/atom. The magnetization is 0.0 μB/cell. The calculated volume is 570.3 Å³/cell. As for the formation enthalpy at 0 K: -0.1548 eV per atom.